[1]
DFT (PBE) results for a relaxed structure of Zr2SiSb.

Computed properties:
Spin magnetization: 0.00 Bohr magnetons per cell
Formation energy (no corrections): 201 meV per atom
Volume: 31.14 Å³/atom
Density: 4.43 g/cm³
SG: I-42d, No. 122

Unit cell a=7.728 b=7.728 c=7.728 alpha=132.10 beta=132.10 gamma=70.07
Sites, in units of the cell vectors:
Zr1 0.088 0.625 0.963
Zr2 0.375 0.338 0.463
Zr3 0.662 0.125 0.037
Zr4 0.875 0.912 0.537
Si1 0.000 0.000 0.000
Si2 0.750 0.250 0.500
Sb1 0.250 0.750 0.500
Sb2 0.500 0.500 0.000

---

[2]
DFT (PBE) results for a relaxed structure of NaEuScIn.

Computed properties:
Spin magnetization: 7.35 Bohr magnetons per cell
Volume: 27.95 Å³/atom
ΔH_f (0 K): -0.076 eV per atom
Density: 4.97 g/cm³
SG: F-43m, No. 216

Unit cell a=5.407 b=5.407 c=5.407 alpha=60.00 beta=60.00 gamma=60.00
Sites, in units of the cell vectors:
Na1 0.000 0.000 0.000
Eu1 0.750 0.750 0.750
Sc1 0.250 0.250 0.250
In1 0.500 0.500 0.500

---

[3]
DFT (PBE) results for a relaxed structure of CeAl7Cu3.

Computed properties:
Spin magnetization: 1.41 Bohr magnetons per cell
Volume: 16.68 Å³/atom
ΔH_f (0 K): -0.283 eV per atom
Density: 4.70 g/cm³
SG: R-3c, No. 167

Unit cell a=8.220 b=8.220 c=8.220 alpha=57.16 beta=57.16 gamma=57.16
Sites, in units of the cell vectors:
Ce1 0.000 0.000 0.000
Ce2 0.500 0.500 0.500
Al1 0.075 0.852 0.663
Al2 0.148 0.337 0.925
Al3 0.163 0.352 0.575
Al4 0.250 0.250 0.250
Al5 0.337 0.925 0.148
Al6 0.352 0.575 0.163
Al7 0.425 0.837 0.648
Al8 0.575 0.163 0.352
Al9 0.648 0.425 0.837
Al10 0.663 0.075 0.852
Al11 0.750 0.750 0.750
Al12 0.837 0.648 0.425
Al13 0.852 0.663 0.075
Al14 0.925 0.148 0.337
Cu1 0.073 0.750 0.427
Cu2 0.250 0.573 0.927
Cu3 0.427 0.073 0.750
Cu4 0.573 0.927 0.250
Cu5 0.750 0.427 0.073
Cu6 0.927 0.250 0.573

---

[4]
DFT (PBE) results for a relaxed structure of CsMg3Ge.

Computed properties:
Spin magnetization: 0.00 Bohr magnetons per cell
Volume: 34.32 Å³/atom
ΔH_f (0 K): 0.287 eV per atom
Density: 2.69 g/cm³
SG: Pm-3m, No. 221

Unit cell a=5.557 b=5.557 c=5.557 alpha=90.00 beta=90.00 gamma=90.00
Sites, in units of the cell vectors:
Cs1 0.000 0.000 0.000
Mg1 0.000 0.500 0.500
Mg2 0.500 0.000 0.500
Mg3 0.500 0.500 0.000
Ge1 0.500 0.500 0.500

---

[5]
DFT (PBE) results for a relaxed structure of KHg2Pt.

Computed properties:
Spin magnetization: 0.00 Bohr magnetons per cell
Volume: 28.11 Å³/atom
ΔH_f (0 K): -0.140 eV per atom
Density: 9.38 g/cm³
SG: Imm2, No. 44

Unit cell a=8.026 b=8.026 c=8.026 alpha=154.78 beta=149.25 gamma=40.18
Sites, in units of the cell vectors:
K1 0.000 0.000 0.000
Hg1 0.350 0.350 0.000
Hg2 0.685 0.185 0.500
Pt1 0.194 0.694 0.500